{"formula": "SmCuBi", "functional": "PBE-GGA", "state": "relaxed", "cell": [[4.317, 0.000, 0.000], [0.000, 4.471, 0.000], [0.000, -2.236, 3.872]], "species": ["Cu", "Bi", "Sm"], "fractional_positions": [[0.080, 0.000, 0.000], [0.219, 0.333, 0.667], [0.701, 0.667, 0.333]], "formation_energy_ev_per_atom": -0.466, "total_magnetization_mub_per_fu": 0.000}



{"formula": "SrTl5Cd2", "functional": "PBE-GGA", "state": "relaxed", "cell": [[8.360, 0.000, 0.000], [0.000, 8.360, 0.000], [-4.180, -4.180, 6.950]], "species": ["Cd", "Tl", "Tl", "Sr", "Tl", "Tl", "Cd", "Tl", "Cd", "Cd", "Tl", "Sr", "Tl", "Tl", "Tl", "Tl"], "fractional_positions": [[0.644, 0.144, 0.000], [0.203, 0.997, 0.700], [0.000, 0.000, 0.000], [0.250, 0.250, 0.500], [0.997, 0.497, 0.700], [0.797, 0.003, 0.300], [0.856, 0.644, 0.000], [0.500, 0.500, 0.000], [0.356, 0.856, 0.000], [0.144, 0.356, 0.000], [0.503, 0.297, 0.300], [0.750, 0.750, 0.500], [0.003, 0.503, 0.300], [0.497, 0.703, 0.700], [0.297, 0.797, 0.300], [0.703, 0.203, 0.700]], "formation_energy_ev_per_atom": -0.052, "total_magnetization_mub_per_fu": 0.000}



{"formula": "Sc2AsCl", "functional": "PBE-GGA", "state": "relaxed", "cell": [[3.790, 0.000, 0.000], [1.895, 3.283, 0.000], [1.895, 1.094, 6.753]], "species": ["Sc", "Sc", "As", "Cl"], "fractional_positions": [[0.263, 0.263, 0.211], [0.072, 0.072, 0.785], [0.669, 0.669, 0.994], [0.496, 0.496, 0.511]], "e_tot_ev_per_atom": -6.057, "total_magnetization_mub_per_fu": 0.000}